KTl7Pb5: relaxed, GGA-PBE.

Cell: 8.726 8.726 8.726 Å, 134.78 98.19 98.81°
Fractional positions:
K 0.000 0.000 0.000
Tl 0.210 0.501 0.708
Tl 0.223 0.723 0.500
Tl 0.354 0.354 0.000
Tl 0.359 0.005 0.354
Tl 0.644 0.644 0.000
Tl 0.651 0.005 0.646
Tl 0.793 0.501 0.292
Pb 0.000 0.001 0.499
Pb 0.000 0.502 0.999
Pb 0.503 0.001 0.001
Pb 0.503 0.502 0.501
Pb 0.787 0.287 0.500

Summary:
**VASP energy**: -2.792 eV/atom
**Spin magnetization**: 0.00 μB/f.u.
**DFT formation energy**: -7 meV/atom